Density functional theory data (SCAN) for Bi2BS at its PBEsol-relaxed geometry.

```
Bi2BS
1.0
-3.3252 3.3252 4.3761
3.3252 -3.3252 4.3761
3.3252 3.3252 -4.3761
Bi B S
4 2 2
Cartesian
1.6626 1.3166 -1.0940
2.0087 -1.6626 5.4702
1.6626 2.0087 3.2821
1.3166 4.9879 1.0940
0.0000 0.0000 0.0000
0.0000 3.3252 2.1881
3.3252 0.0000 2.1881
0.0000 0.0000 4.3761
```

Computed properties:
- DOS(E_F) (states/eV/cell) = 4.3
- space group = I-42d
- formation energy (no corrections) (meV per atom) = 678